Entry 1:
{"formula": "CeNd6SmEr2", "functional": "PBE-GGA", "state": "optimized geometry", "formation_enthalpy_0k_ev_per_atom": 0.237, "energy_ev_per_fu": -46.016, "cell": [[5.651, -3.516, 0.000], [5.651, 3.516, 0.000], [-1.972, 0.000, 8.685]], "species": ["Ce", "Nd", "Nd", "Nd", "Nd", "Nd", "Nd", "Sm", "Er", "Er"], "fractional_positions": [[0.000, 0.000, 0.000], [0.096, 0.564, 0.201], [0.130, 0.130, 0.419], [0.436, 0.904, 0.799], [0.564, 0.096, 0.201], [0.870, 0.870, 0.581], [0.904, 0.436, 0.799], [0.500, 0.500, 0.500], [0.408, 0.408, 0.841], [0.592, 0.592, 0.159]]}

Entry 2:
{"formula": "CeNd2SmEr5", "functional": "PBE-GGA", "state": "optimized geometry", "formation_enthalpy_0k_ev_per_atom": 0.269, "energy_ev_per_fu": -40.586, "cell": [[-4.314, 4.314, 7.748], [4.314, -4.314, 7.748], [4.314, 4.314, -7.748]], "species": ["Ce", "Ce", "Nd", "Nd", "Nd", "Nd", "Sm", "Sm", "Er", "Er", "Er", "Er", "Er", "Er", "Er", "Er", "Er", "Er"], "fractional_positions": [[0.250, 0.750, 0.500], [0.750, 0.250, 0.500], [0.119, 0.619, 0.739], [0.381, 0.119, 0.500], [0.619, 0.881, 0.500], [0.881, 0.381, 0.261], [0.250, 0.250, 0.000], [0.750, 0.750, 0.000], [0.000, 0.000, 0.000], [0.066, 0.155, 0.500], [0.155, 0.655, 0.089], [0.345, 0.434, 0.500], [0.434, 0.934, 0.089], [0.500, 0.500, 0.000], [0.566, 0.066, 0.911], [0.655, 0.566, 0.500], [0.845, 0.345, 0.911], [0.934, 0.845, 0.500]]}

Entry 3:
{"formula": "Ce2NdSm3Er6", "functional": "PBE-GGA", "state": "optimized geometry", "formation_enthalpy_0k_ev_per_atom": 0.047, "energy_ev_per_fu": -57.612, "cell": [[3.081, -5.336, 0.000], [3.081, 5.336, 0.000], [-2.053, 0.000, 11.505]], "species": ["Ce", "Ce", "Nd", "Sm", "Sm", "Sm", "Er", "Er", "Er", "Er", "Er", "Er"], "fractional_positions": [[0.167, 0.833, 0.000], [0.833, 0.167, 0.000], [0.500, 0.500, 0.000], [0.000, 0.000, 0.500], [0.334, 0.666, 0.500], [0.666, 0.334, 0.500], [0.081, 0.417, 0.752], [0.247, 0.247, 0.248], [0.417, 0.081, 0.752], [0.583, 0.919, 0.248], [0.753, 0.753, 0.752], [0.919, 0.583, 0.248]]}

Entry 4:
{"formula": "CeNdSm2Er5", "functional": "PBE-GGA", "state": "optimized geometry", "formation_enthalpy_0k_ev_per_atom": 0.271, "energy_ev_per_fu": -40.519, "cell": [[-4.336, 4.336, 7.662], [4.336, -4.336, 7.662], [4.336, 4.336, -7.662]], "species": ["Ce", "Ce", "Nd", "Nd", "Sm", "Sm", "Sm", "Sm", "Er", "Er", "Er", "Er", "Er", "Er", "Er", "Er", "Er", "Er"], "fractional_positions": [[0.250, 0.750, 0.500], [0.750, 0.250, 0.500], [0.250, 0.250, 0.000], [0.750, 0.750, 0.000], [0.119, 0.619, 0.737], [0.381, 0.119, 0.500], [0.619, 0.881, 0.500], [0.881, 0.381, 0.263], [0.000, 0.000, 0.000], [0.066, 0.159, 0.500], [0.159, 0.659, 0.093], [0.341, 0.434, 0.500], [0.434, 0.934, 0.093], [0.500, 0.500, 0.000], [0.566, 0.066, 0.907], [0.659, 0.566, 0.500], [0.841, 0.341, 0.907], [0.934, 0.841, 0.500]]}

Entry 5:
{"formula": "Ce2NdSm6Er3", "functional": "PBE-GGA", "state": "optimized geometry", "formation_enthalpy_0k_ev_per_atom": 0.056, "energy_ev_per_fu": -57.963, "cell": [[3.105, -5.379, 0.000], [3.105, 5.379, 0.000], [-2.078, 0.000, 11.694]], "species": ["Ce", "Ce", "Nd", "Sm", "Sm", "Sm", "Sm", "Sm", "Sm", "Er", "Er", "Er"], "fractional_positions": [[0.167, 0.833, 0.000], [0.833, 0.167, 0.000], [0.500, 0.500, 0.000], [0.079, 0.415, 0.749], [0.248, 0.248, 0.252], [0.415, 0.079, 0.749], [0.585, 0.921, 0.251], [0.752, 0.752, 0.748], [0.921, 0.585, 0.251], [0.000, 0.000, 0.500], [0.333, 0.667, 0.500], [0.667, 0.333, 0.500]]}

Entry 6:
{"formula": "Ce2Nd3SmEr6", "functional": "PBE-GGA", "state": "optimized geometry", "formation_enthalpy_0k_ev_per_atom": 0.045, "energy_ev_per_fu": -57.724, "cell": [[3.091, -5.352, 0.000], [3.091, 5.352, 0.000], [-2.060, 0.000, 11.520]], "species": ["Ce", "Ce", "Nd", "Nd", "Nd", "Sm", "Er", "Er", "Er", "Er", "Er", "Er"], "fractional_positions": [[0.167, 0.833, 0.000], [0.833, 0.167, 0.000], [0.000, 0.000, 0.500], [0.334, 0.666, 0.500], [0.666, 0.334, 0.500], [0.500, 0.500, 0.000], [0.082, 0.418, 0.754], [0.247, 0.247, 0.246], [0.418, 0.082, 0.754], [0.582, 0.918, 0.246], [0.753, 0.753, 0.754], [0.918, 0.582, 0.246]]}

Entry 7:
{"formula": "CeNdErSn", "functional": "PBE-GGA", "state": "optimized geometry", "formation_enthalpy_0k_ev_per_atom": -0.191, "energy_ev_per_fu": -20.032, "cell": [[0.000, 3.838, 3.838], [3.838, 0.000, 3.838], [3.838, 3.838, 0.000]], "species": ["Ce", "Nd", "Er", "Sn"], "fractional_positions": [[0.000, 0.000, 0.000], [0.750, 0.750, 0.750], [0.250, 0.250, 0.250], [0.500, 0.500, 0.500]]}

Entry 8:
{"formula": "Tb2CeNdEr5", "functional": "PBE-GGA", "state": "optimized geometry", "formation_enthalpy_0k_ev_per_atom": 0.175, "energy_ev_per_fu": -41.202, "cell": [[2.834, -10.709, 0.000], [2.834, 10.709, 0.000], [0.000, 0.000, 9.560]], "species": ["Tb", "Tb", "Tb", "Tb", "Ce", "Ce", "Nd", "Nd", "Er", "Er", "Er", "Er", "Er", "Er", "Er", "Er", "Er", "Er"], "fractional_positions": [[0.113, 0.887, 0.500], [0.139, 0.861, 0.881], [0.861, 0.139, 0.381], [0.887, 0.113, 0.000], [0.197, 0.803, 0.201], [0.803, 0.197, 0.701], [0.403, 0.597, 0.602], [0.597, 0.403, 0.102], [0.013, 0.987, 0.194], [0.266, 0.734, 0.515], [0.308, 0.692, 0.897], [0.395, 0.605, 0.218], [0.472, 0.528, 0.923], [0.528, 0.472, 0.423], [0.605, 0.395, 0.718], [0.692, 0.308, 0.397], [0.734, 0.266, 0.015], [0.987, 0.013, 0.694]]}